1.
# VPt2Au, relaxed, DFT PBE
# * relative energy among the computed polymorphs: 0 meV per atom
# * calculated formation energy: -370 meV/atom
# * SG: No. 123
data_VPt2Au
_symmetry_space_group_name_H-M 'P 1'
_symmetry_Int_Tables_number 1
_symmetry_space_group_name_Hall 'P 1'
_cell_length_a 2.8039
_cell_length_b 2.8039
_cell_length_c 7.9377
_cell_angle_alpha 90.00
_cell_angle_beta 90.00
_cell_angle_gamma 90.00
loop_
_atom_site_label
_atom_site_type_symbol
_atom_site_fract_x
_atom_site_fract_y
_atom_site_fract_z
V1 V 0.0000 0.0000 0.0000
Pt1 Pt 0.5000 0.5000 0.2228
Pt2 Pt 0.5000 0.5000 0.7772
Au1 Au 0.0000 0.0000 0.5000

2.
# Sr2GaNiBr, relaxed, DFT PBE
# * raw formation energy: -0.68 eV/atom
# * SG: No. 123
data_Sr2GaNiBr
_symmetry_space_group_name_H-M 'P 1'
_symmetry_Int_Tables_number 1
_symmetry_space_group_name_Hall 'P 1'
_cell_length_a 5.8316
_cell_length_b 5.8316
_cell_length_c 4.4829
_cell_angle_alpha 90.00
_cell_angle_beta 90.00
_cell_angle_gamma 90.00
loop_
_atom_site_label
_atom_site_type_symbol
_atom_site_fract_x
_atom_site_fract_y
_atom_site_fract_z
Sr1 Sr 0.0000 0.5000 0.0000
Sr2 Sr 0.5000 0.0000 0.0000
Ga1 Ga 0.0000 0.0000 0.5000
Ni1 Ni 0.0000 0.0000 0.0000
Br1 Br 0.5000 0.5000 0.5000

3.
# ReGe2S6, relaxed, DFT PBE
# * raw formation energy: -0.16 eV/atom
# * SG: No. 15
data_ReGe2S6
_symmetry_space_group_name_H-M 'P 1'
_symmetry_Int_Tables_number 1
_symmetry_space_group_name_Hall 'P 1'
_cell_length_a 7.9395
_cell_length_b 7.9395
_cell_length_c 6.2581
_cell_angle_alpha 97.35
_cell_angle_beta 97.35
_cell_angle_gamma 83.27
loop_
_atom_site_label
_atom_site_type_symbol
_atom_site_fract_x
_atom_site_fract_y
_atom_site_fract_z
Re1 Re 0.1154 0.8846 0.7500
Re2 Re 0.8846 0.1154 0.2500
Ge1 Ge 0.2114 0.3819 0.6554
Ge2 Ge 0.3819 0.2114 0.1554
Ge3 Ge 0.6181 0.7886 0.8446
Ge4 Ge 0.7886 0.6181 0.3446
S1 S 0.0158 0.1813 0.6149
S2 S 0.1126 0.6304 0.8652
S3 S 0.1813 0.0158 0.1149
S4 S 0.2859 0.4562 0.3477
S5 S 0.3696 0.8874 0.6348
S6 S 0.4562 0.2859 0.8477
S7 S 0.5438 0.7141 0.1523
S8 S 0.6304 0.1126 0.3652
S9 S 0.7141 0.5438 0.6523
S10 S 0.8187 0.9842 0.8851
S11 S 0.8874 0.3696 0.1348
S12 S 0.9842 0.8187 0.3851

4.
# Sr3IF, relaxed, DFT PBE
# * relative energy among the computed polymorphs: 0 meV per atom
# * raw formation energy: -1.11 eV/atom
# * SG: No. 221
data_Sr3IF
_symmetry_space_group_name_H-M 'P 1'
_symmetry_Int_Tables_number 1
_symmetry_space_group_name_Hall 'P 1'
_cell_length_a 5.7466
_cell_length_b 5.7466
_cell_length_c 5.7466
_cell_angle_alpha 90.00
_cell_angle_beta 90.00
_cell_angle_gamma 90.00
loop_
_atom_site_label
_atom_site_type_symbol
_atom_site_fract_x
_atom_site_fract_y
_atom_site_fract_z
Sr1 Sr 0.0000 0.0000 0.5000
Sr2 Sr 0.0000 0.5000 0.0000
Sr3 Sr 0.5000 0.0000 0.0000
I1 I 0.5000 0.5000 0.5000
F1 F 0.0000 0.0000 0.0000

5.
# ErScAlAg, relaxed, DFT PBE
# * relative energy among the computed polymorphs: 21 meV per atom
# * calculated formation energy: -344 meV/atom
# * SG: No. 216
data_ErScAlAg
_symmetry_space_group_name_H-M 'P 1'
_symmetry_Int_Tables_number 1
_symmetry_space_group_name_Hall 'P 1'
_cell_length_a 7.0453
_cell_length_b 7.0453
_cell_length_c 7.0453
_cell_angle_alpha 90.00
_cell_angle_beta 90.00
_cell_angle_gamma 90.00
loop_
_atom_site_label
_atom_site_type_symbol
_atom_site_fract_x
_atom_site_fract_y
_atom_site_fract_z
Er1 Er 0.0000 0.0000 0.0000
Er2 Er 0.0000 0.5000 0.5000
Er3 Er 0.5000 0.0000 0.5000
Er4 Er 0.5000 0.5000 0.0000
Sc1 Sc 0.0000 0.0000 0.5000
Sc2 Sc 0.0000 0.5000 0.0000
Sc3 Sc 0.5000 0.0000 0.0000
Sc4 Sc 0.5000 0.5000 0.5000
Al1 Al 0.2500 0.2500 0.7500
Al2 Al 0.2500 0.7500 0.2500
Al3 Al 0.7500 0.2500 0.2500
Al4 Al 0.7500 0.7500 0.7500
Ag1 Ag 0.2500 0.2500 0.2500
Ag2 Ag 0.2500 0.7500 0.7500
Ag3 Ag 0.7500 0.2500 0.7500
Ag4 Ag 0.7500 0.7500 0.2500

6.
# BeZnCdSb2, relaxed, DFT PBE
# * raw formation energy: 1.11 eV/atom
# * SG: No. 123
data_BeZnCdSb2
_symmetry_space_group_name_H-M 'P 1'
_symmetry_Int_Tables_number 1
_symmetry_space_group_name_Hall 'P 1'
_cell_length_a 5.5469
_cell_length_b 5.5469
_cell_length_c 4.8865
_cell_angle_alpha 90.00
_cell_angle_beta 90.00
_cell_angle_gamma 90.00
loop_
_atom_site_label
_atom_site_type_symbol
_atom_site_fract_x
_atom_site_fract_y
_atom_site_fract_z
Be1 Be 0.0000 0.0000 0.0000
Zn1 Zn 0.5000 0.5000 0.0000
Cd1 Cd 0.5000 0.5000 0.5000
Sb1 Sb 0.0000 0.5000 0.5000
Sb2 Sb 0.5000 0.0000 0.5000

7.
# SmTm2Pt, relaxed, DFT PBE
# * relative energy among the computed polymorphs: 190 meV per atom
# * calculated formation energy: -528 meV/atom
# * SG: No. 166
data_SmTm2Pt
_symmetry_space_group_name_H-M 'P 1'
_symmetry_Int_Tables_number 1
_symmetry_space_group_name_Hall 'P 1'
_cell_length_a 3.8027
_cell_length_b 3.8027
_cell_length_c 28.2222
_cell_angle_alpha 90.00
_cell_angle_beta 90.00
_cell_angle_gamma 120.00
loop_
_atom_site_label
_atom_site_type_symbol
_atom_site_fract_x
_atom_site_fract_y
_atom_site_fract_z
Sm1 Sm 0.0000 0.0000 0.0000
Sm2 Sm 0.3333 0.6667 0.6667
Sm3 Sm 0.6667 0.3333 0.3333
Tm1 Tm 0.0000 0.0000 0.2270
Tm2 Tm 0.0000 0.0000 0.7730
Tm3 Tm 0.3333 0.6667 0.4397
Tm4 Tm 0.3333 0.6667 0.8936
Tm5 Tm 0.6667 0.3333 0.1064
Tm6 Tm 0.6667 0.3333 0.5603
Pt1 Pt 0.0000 0.0000 0.5000
Pt2 Pt 0.3333 0.6667 0.1667
Pt3 Pt 0.6667 0.3333 0.8333

8.
# MgZn2Cl, relaxed, DFT PBE
# * relative energy among the computed polymorphs: 165 meV per atom
# * raw formation energy: -0.23 eV/atom
# * SG: No. 10
data_MgZn2Cl
_symmetry_space_group_name_H-M 'P 1'
_symmetry_Int_Tables_number 1
_symmetry_space_group_name_Hall 'P 1'
_cell_length_a 3.2007
_cell_length_b 5.9494
_cell_length_c 4.2621
_cell_angle_alpha 90.00
_cell_angle_beta 92.86
_cell_angle_gamma 90.00
loop_
_atom_site_label
_atom_site_type_symbol
_atom_site_fract_x
_atom_site_fract_y
_atom_site_fract_z
Mg1 Mg 0.0000 0.0000 0.0000
Zn1 Zn 0.2388 0.5000 0.7560
Zn2 Zn 0.7612 0.5000 0.2440
Cl1 Cl 0.5000 0.0000 0.5000

9.
# DyPuCdPb, relaxed, DFT PBE
# * calculated formation energy: -210 meV/atom
# * SG: No. 216
data_DyPuCdPb
_symmetry_space_group_name_H-M 'P 1'
_symmetry_Int_Tables_number 1
_symmetry_space_group_name_Hall 'P 1'
_cell_length_a 7.6152
_cell_length_b 7.6152
_cell_length_c 7.6152
_cell_angle_alpha 90.00
_cell_angle_beta 90.00
_cell_angle_gamma 90.00
loop_
_atom_site_label
_atom_site_type_symbol
_atom_site_fract_x
_atom_site_fract_y
_atom_site_fract_z
Dy1 Dy 0.0000 0.0000 0.0000
Dy2 Dy 0.0000 0.5000 0.5000
Dy3 Dy 0.5000 0.0000 0.5000
Dy4 Dy 0.5000 0.5000 0.0000
Pu1 Pu 0.0000 0.0000 0.5000
Pu2 Pu 0.0000 0.5000 0.0000
Pu3 Pu 0.5000 0.0000 0.0000
Pu4 Pu 0.5000 0.5000 0.5000
Cd1 Cd 0.2500 0.2500 0.7500
Cd2 Cd 0.2500 0.7500 0.2500
Cd3 Cd 0.7500 0.2500 0.2500
Cd4 Cd 0.7500 0.7500 0.7500
Pb1 Pb 0.2500 0.2500 0.2500
Pb2 Pb 0.2500 0.7500 0.7500
Pb3 Pb 0.7500 0.2500 0.7500
Pb4 Pb 0.7500 0.7500 0.2500

10.
# GaCu2AsPt, relaxed, DFT PBE
# * calculated formation energy: 575 meV/atom
# * SG: No. 123
data_GaCu2AsPt
_symmetry_space_group_name_H-M 'P 1'
_symmetry_Int_Tables_number 1
_symmetry_space_group_name_Hall 'P 1'
_cell_length_a 4.3993
_cell_length_b 4.3993
_cell_length_c 4.9286
_cell_angle_alpha 90.00
_cell_angle_beta 90.00
_cell_angle_gamma 90.00
loop_
_atom_site_label
_atom_site_type_symbol
_atom_site_fract_x
_atom_site_fract_y
_atom_site_fract_z
Ga1 Ga 0.0000 0.0000 0.0000
Cu1 Cu 0.0000 0.5000 0.5000
Cu2 Cu 0.5000 0.0000 0.5000
As1 As 0.0000 0.0000 0.5000
Pt1 Pt 0.5000 0.5000 0.0000

no.,M_tot (μB/cell)
1,0.00
2,0.00
3,1.42
4,0.00
5,0.00
6,0.00
7,0.00
8,0.00
9,26.91
10,0.00